Run 1
Compound: TbTmTlZn
Source: the Alexandria database
Functional: PBE-GGA
Structure: optimized geometry

```
TbTmTlZn
1.0
0.000 3.681 3.681
3.681 0.000 3.681
3.681 3.681 0.000
Tb Tm Tl Zn
1 1 1 1
Direct
0.000 0.000 0.000
0.500 0.500 0.500
0.750 0.750 0.750
0.250 0.250 0.250
```

## Properties
D(E_F)   4.0 states/eV per cell



Run 2
Compound: TbTmTlZn
Source: the Alexandria database
Functional: PBE-GGA
Structure: optimized geometry

```
TbTmTlZn
1.0
3.650 0.000 0.000
0.000 3.650 0.000
0.000 0.000 7.392
Tb Tm Tl Zn
1 1 1 1
Direct
0.000 0.000 0.000
0.000 0.000 0.543
0.500 0.500 0.278
0.500 0.500 0.763
```

## Properties
D(E_F)   3.1 states/eV per cell



According to the calculations, the structures order from most to least stable as run 2, run 1.



Run 1
Compound: TbYTl
Source: the Alexandria database
Functional: PBE-GGA
Structure: optimized geometry

```
TbYTl
1.0
5.433 0.000 0.000
-2.716 4.705 0.000
0.000 0.000 6.735
Tb Y Tl
2 2 2
Direct
0.000 0.000 0.000
0.000 0.000 0.500
0.333 0.667 0.250
0.667 0.333 0.750
0.333 0.667 0.750
0.667 0.333 0.250
```

## Properties
D(E_F)   7.3 states/eV per cell



Run 2
Compound: TbYTl
Source: the Alexandria database
Functional: PBE-GGA
Structure: optimized geometry

```
TbYTl
1.0
-1.697 1.697 8.704
1.697 -1.697 8.704
1.697 1.697 -8.704
Tb Y Tl
1 1 1
Direct
0.000 0.000 0.000
0.802 0.802 0.000
0.627 0.627 0.000
```

## Properties
D(E_F)   3.9 states/eV per cell



According to the calculations, the structures order from most to least stable as run 1, run 2.



Run 1
Compound: TbYTl
Source: the Alexandria database
Functional: PBE-GGA
Structure: optimized geometry

```
TbYTl
1.0
4.913 0.000 0.000
0.000 4.913 0.000
0.000 0.000 7.748
Tb Y Tl
2 2 2
Direct
0.250 0.250 0.228
0.750 0.750 0.772
0.250 0.250 0.781
0.750 0.750 0.219
0.250 0.750 0.500
0.750 0.250 0.500
```

## Properties
D(E_F)   6.2 states/eV per cell



Run 2
Compound: TbYTl
Source: the Alexandria database
Functional: PBE-GGA
Structure: optimized geometry

```
TbYTl
1.0
3.639 0.000 0.000
-1.820 3.152 0.000
0.000 0.000 7.985
Tb Y Tl
1 1 1
Direct
0.000 0.000 0.000
0.667 0.333 0.642
0.333 0.667 0.322
```

## Properties
D(E_F)   2.8 states/eV per cell



Run 3
Compound: TbYTl
Source: the Alexandria database
Functional: PBE-GGA
Structure: optimized geometry

```
TbYTl
1.0
5.265 0.000 0.000
-2.632 4.560 0.000
0.000 0.000 3.707
Tb Y Tl
1 1 1
Direct
0.000 0.000 0.000
0.333 0.667 0.462
0.667 0.333 0.726
```

## Properties
D(E_F)   2.6 states/eV per cell



According to the calculations, the structures order from most to least stable as run 2, run 3, run 1.



Run 1
Compound: TbY2Tl
Source: the Alexandria database
Functional: PBE-GGA
Structure: optimized geometry

```
TbY2Tl
1.0
1.841 -6.460 0.000
1.841 6.460 0.000
0.000 0.000 10.188
Tb Y Tl
2 4 2
Direct
0.042 0.958 0.750
0.958 0.042 0.250
0.369 0.631 0.534
0.369 0.631 0.966
0.631 0.369 0.034
0.631 0.369 0.466
0.245 0.755 0.250
0.755 0.245 0.750
```

## Properties
D(E_F)   10.6 states/eV per cell



Run 2
Compound: TbY2Tl
Source: the Alexandria database
Functional: PBE-GGA
Structure: optimized geometry

```
TbY2Tl
1.0
3.639 0.000 0.000
0.000 3.639 0.000
0.000 0.000 9.115
Tb Y Tl
1 2 1
Direct
0.000 0.000 0.000
0.500 0.500 0.273
0.500 0.500 0.727
0.000 0.000 0.500
```

## Properties
D(E_F)   4.8 states/eV per cell



Run 3
Compound: TbY2Tl
Source: the Alexandria database
Functional: PBE-GGA
Structure: optimized geometry

```
TbY2Tl
1.0
0.000 3.878 3.878
3.878 0.000 3.878
3.878 3.878 0.000
Tb Y Tl
1 2 1
Direct
0.000 0.000 0.000
0.250 0.250 0.250
0.750 0.750 0.750
0.500 0.500 0.500
```

## Properties
D(E_F)   5.0 states/eV per cell



Run 4
Compound: TbY2Tl
Source: the Alexandria database
Functional: PBE-GGA
Structure: optimized geometry

```
TbY2Tl
1.0
6.722 0.000 0.000
0.000 5.369 0.000
-1.267 0.000 6.630
Tb Y Tl
2 4 2
Direct
0.162 0.250 0.426
0.838 0.750 0.574
0.085 0.250 0.906
0.369 0.750 0.772
0.631 0.250 0.228
0.915 0.750 0.094
0.385 0.750 0.257
0.615 0.250 0.743
```

## Properties
D(E_F)   8.8 states/eV per cell



According to the calculations, the structures order from most to least stable as run 4, run 1, run 2, run 3.